No. 1
Here is a relaxed structure of BeAlZn2 from the Alexandria database. Energies are from PBE.

a = 3.8066 Å, b = 3.8066 Å, c = 3.8096 Å
α = 90.00°, β = 90.00°, γ = 90.00°
With the nearest neighbours (Å) after each atom.
Space group P4/mmm (No. 123)
Unique sites:
Be: 0.0000 0.0000 0.0000  4 Al 2.69, 8 Zn 2.69
Al: 0.5000 0.5000 0.0000  4 Be 2.69, 8 Zn 2.69
Zn: 0.0000 0.5000 0.5000  4 Zn 2.69, 4 Be 2.69, 4 Al 2.69

Properties
Energy above the most stable polymorph in this dataset   0.19 eV per formula unit
Volume   13.8 Å³ per atom
ΔH_f (0 K)   174 meV per atom

No. 2
Here is a relaxed structure of BeAlZn2 from the Alexandria database. Energies are from PBE.

a = 2.7405 Å, b = 2.7405 Å, c = 7.3453 Å
α = 90.00°, β = 90.00°, γ = 90.00°
With the nearest neighbours (Å) after each atom.
Space group P4/mmm (No. 123)
Unique sites:
Be: 0.0000 0.0000 0.0000  8 Zn 2.50, 4 Be 2.74
Al: 0.0000 0.0000 0.5000  4 Al 2.74, 8 Zn 2.85
Zn: 0.5000 0.5000 0.2146  4 Be 2.50, 4 Zn 2.74

Properties
Energy above the most stable polymorph in this dataset   0.06 eV per formula unit
Volume   13.8 Å³ per atom
ΔH_f (0 K)   143 meV per atom

No. 3
Here is a relaxed structure of BeAl2Zn from the Alexandria database. Energies are from PBE.

a = 2.7441 Å, b = 2.7441 Å, c = 7.5994 Å
α = 90.00°, β = 90.00°, γ = 90.00°
With the nearest neighbours (Å) after each atom.
Space group P4/mmm (No. 123)
Unique sites:
Be: 0.0000 0.0000 0.0000  8 Al 2.60, 4 Be 2.74
Al: 0.5000 0.5000 0.2275  4 Be 2.60, 4 Al 2.74, 4 Zn 2.84
Zn: 0.0000 0.0000 0.5000  4 Zn 2.74, 8 Al 2.84

Properties
Energy above the most stable polymorph in this dataset   0.11 eV per formula unit
Volume   14.3 Å³ per atom
ΔH_f (0 K)   145 meV per atom

No. 4
Here is a relaxed structure of BeAlZn3 from the Alexandria database. Energies are from PBE.

a = 4.8258 Å, b = 4.8258 Å, c = 4.8258 Å
α = 90.00°, β = 90.00°, γ = 90.00°
With the nearest neighbours (Å) after each atom.
Space group Pm-3m (No. 221)
Unique sites:
Be: 0.0000 0.0000 0.0000  12 Zn 3.41
Al: 0.5000 0.5000 0.5000  6 Zn 2.41
Zn: 0.0000 0.5000 0.5000  2 Al 2.41

Properties
Energy above the most stable polymorph in this dataset   2.75 eV per formula unit
Volume   22.5 Å³ per atom
ΔH_f (0 K)   910 meV per atom

No. 5
Here is a relaxed structure of BeAlZn2 from the Alexandria database. Energies are from PBE.

a = 4.9546 Å, b = 7.3726 Å, c = 3.1093 Å
α = 90.00°, β = 90.00°, γ = 90.00°
With the nearest neighbours (Å) after each atom.
Space group Cmmm (No. 65)
Unique sites:
Be: 0.0000 0.0000 0.0000  2 Al 2.48, 8 Zn 2.71
Al: 0.0000 0.5000 0.0000  2 Be 2.48, 8 Zn 2.71
Zn: 0.2500 0.2500 0.5000  2 Zn 2.48, 4 Be 2.71, 4 Al 2.71

Properties
Energy above the most stable polymorph in this dataset   0.23 eV per formula unit
Volume   14.2 Å³ per atom
ΔH_f (0 K)   185 meV per atom

No. 6
Here is a relaxed structure of BeAl2Zn from the Alexandria database. Energies are from PBE.

a = 2.6741 Å, b = 4.1731 Å, c = 10.6792 Å
α = 90.00°, β = 90.00°, γ = 90.00°
With the nearest neighbours (Å) after each atom.
Space group Imm2 (No. 44)
Unique sites:
Be: 0.0000 0.0000 0.0000  6 Al 2.48-2.51, 2 Zn 2.48, 2 Be 2.67
Al: 0.0000 0.0000 0.5079  4 Be 2.48, 2 Al 2.67
Al: 0.0000 0.5000 0.3013  2 Be 2.51, 2 Al 2.67, 4 Zn 2.72
Zn: 0.0000 0.5000 0.6957  2 Be 2.48, 2 Zn 2.67, 4 Al 2.72

Properties
Energy above the most stable polymorph in this dataset   0.24 eV per formula unit
Volume   14.9 Å³ per atom
ΔH_f (0 K)   178 meV per atom

No. 7
Here is a relaxed structure of Be2AlZn from the Alexandria database. Energies are from PBE.

a = 6.7396 Å, b = 6.7396 Å, c = 4.8376 Å
α = 90.00°, β = 90.00°, γ = 90.00°
With the nearest neighbours (Å) after each atom.
Space group I-42d (No. 122)
Unique sites:
Be: 0.2309 0.2500 0.1250  2 Zn 2.37, 2 Be 2.43, 2 Al 2.55
Al: 0.0000 0.0000 0.5000  2 Zn 2.42, 4 Be 2.55
Zn: 0.0000 0.0000 0.0000  4 Be 2.37, 2 Al 2.42

Properties
Energy above the most stable polymorph in this dataset   1.74 eV per formula unit
Volume   13.7 Å³ per atom
ΔH_f (0 K)   611 meV per atom

No. 8
Here is a relaxed structure of BeAlZn2 from the Alexandria database. Energies are from PBE.

a = 2.6895 Å, b = 2.6895 Å, c = 7.6378 Å
α = 90.00°, β = 90.00°, γ = 90.00°
With the nearest neighbours (Å) after each atom.
Space group P4mm (No. 99)
Unique sites:
Be: 0.0000 0.0000 0.0000  4 Zn 2.52, 4 Al 2.56, 4 Be 2.69
Al: 0.5000 0.5000 0.7762  4 Be 2.56, 4 Al 2.69
Zn: 0.0000 0.0000 0.4925  8 Zn 2.69-2.83, 4 Al 2.88
Zn: 0.5000 0.5000 0.2173  4 Be 2.52, 4 Zn 2.69

Properties
Energy above the most stable polymorph in this dataset   0.00 eV per formula unit
Volume   13.8 Å³ per atom
ΔH_f (0 K)   127 meV per atom

No. 9
Here is a relaxed structure of BeAl3Zn from the Alexandria database. Energies are from PBE.

a = 4.4081 Å, b = 4.4081 Å, c = 4.4081 Å
α = 90.00°, β = 90.00°, γ = 90.00°
With the nearest neighbours (Å) after each atom.
Space group Pm-3m (No. 221)
Unique sites:
Be: 0.0000 0.0000 0.0000  6 Al 2.20
Al: 0.0000 0.0000 0.5000  2 Be 2.20
Zn: 0.5000 0.5000 0.5000  12 Al 3.12

Properties
Energy above the most stable polymorph in this dataset   0.00 eV per formula unit
Volume   17.1 Å³ per atom
ΔH_f (0 K)   404 meV per atom

No. 10
Here is a relaxed structure of BeAl2Zn from the Alexandria database. Energies are from PBE.

a = 5.4193 Å, b = 8.6401 Å, c = 2.7482 Å
α = 90.00°, β = 113.95°, γ = 90.00°
With the nearest neighbours (Å) after each atom.
Space group C2/m (No. 12)
Unique sites:
Be: 0.0000 0.0000 0.0000  4 Al 2.62, 2 Zn 2.71, 2 Be 2.75
Al: 0.2500 0.2500 0.5000  2 Be 2.62, 2 Zn 2.62, 4 Al 2.71-2.75
Zn: 0.0000 0.5000 0.0000  4 Al 2.62, 2 Be 2.71, 2 Zn 2.75

Properties
Energy above the most stable polymorph in this dataset   0.69 eV per formula unit
Volume   14.7 Å³ per atom
ΔH_f (0 K)   291 meV per atom

No. 11
Here is a relaxed structure of Be2AlZn from the Alexandria database. Energies are from PBE.

a = 2.4831 Å, b = 3.8898 Å, c = 10.6392 Å
α = 90.00°, β = 90.00°, γ = 90.00°
With the nearest neighbours (Å) after each atom.
Space group Imm2 (No. 44)
Unique sites:
Be: 0.0000 0.0000 0.0000  4 Be 2.32-2.48, 4 Al 2.57
Be: 0.0000 0.5000 0.3156  4 Zn 2.32, 4 Be 2.32-2.48, 2 Al 2.56
Al: 0.0000 0.0000 0.6054  2 Al 2.48, 6 Be 2.56-2.57
Zn: 0.0000 0.5000 0.8364  4 Be 2.32, 2 Zn 2.48

Properties
Energy above the most stable polymorph in this dataset   0.15 eV per formula unit
Volume   12.8 Å³ per atom
ΔH_f (0 K)   213 meV per atom

No. 12
Here is a relaxed structure of BeAlZn2 from the Alexandria database. Energies are from PBE.

a = 3.0814 Å, b = 3.9574 Å, c = 4.9337 Å
α = 90.00°, β = 107.52°, γ = 90.00°
With the nearest neighbours (Å) after each atom.
Space group P2/m (No. 10)
Unique sites:
Be: 0.0000 0.0000 0.0000  4 Zn 2.37, 2 Al 2.47
Al: 0.0000 0.0000 0.5000  2 Be 2.47
Zn: 0.3430 0.5000 0.2307  2 Be 2.37, 2 Zn 2.54-2.60

Properties
Energy above the most stable polymorph in this dataset   0.31 eV per formula unit
Volume   14.3 Å³ per atom
ΔH_f (0 K)   205 meV per atom

No. 13
Here is a relaxed structure of BeAlZn2 from the Alexandria database. Energies are from PBE.

a = 2.7516 Å, b = 3.7586 Å, c = 5.3689 Å
α = 90.00°, β = 90.00°, γ = 90.00°
With the nearest neighbours (Å) after each atom.
Space group Pmmm (No. 47)
Unique sites:
Be: 0.0000 0.0000 0.0000  8 Zn 2.64, 2 Al 2.68, 2 Be 2.75
Al: 0.0000 0.0000 0.5000  2 Be 2.68, 8 Zn 2.73, 2 Al 2.75
Zn: 0.5000 0.5000 0.2332  3 Zn 2.50-2.75, 4 Be 2.64, 4 Al 2.73

Properties
Energy above the most stable polymorph in this dataset   0.17 eV per formula unit
Volume   13.9 Å³ per atom
ΔH_f (0 K)   169 meV per atom

No. 14
Here is a relaxed structure of BeAl4Zn from the Alexandria database. Energies are from PBE.

a = 7.3881 Å, b = 7.3881 Å, c = 7.3881 Å
α = 90.00°, β = 90.00°, γ = 90.00°
With the nearest neighbours (Å) after each atom.
Space group F-43m (No. 216)
Unique sites:
Be: 0.0000 0.0000 0.0000  12 Al 3.06, 4 Zn 3.20
Al: 0.1253 0.1253 0.3747  6 Al 2.61-2.62
Zn: 0.2500 0.2500 0.7500  12 Al 3.06, 4 Be 3.20

Properties
Volume   16.8 Å³ per atom
ΔH_f (0 K)   440 meV per atom

No. 15
Here is a relaxed structure of Be2AlZn from the Alexandria database. Energies are from PBE.

a = 3.6366 Å, b = 3.6366 Å, c = 7.3669 Å
α = 90.00°, β = 90.00°, γ = 90.00°
With the nearest neighbours (Å) after each atom.
Space group I-4m2 (No. 119)
Unique sites:
Be: 0.0000 0.0000 0.0000  4 Al 2.57, 4 Be 2.59, 4 Zn 2.59
Be: 0.0000 0.5000 0.2500  4 Zn 2.57, 4 Be 2.59, 4 Al 2.59
Al: 0.0000 0.0000 0.5000  8 Be 2.57-2.59, 4 Zn 2.59
Zn: 0.0000 0.5000 0.7500  8 Be 2.57-2.59, 4 Al 2.59

Properties
Energy above the most stable polymorph in this dataset   0.33 eV per formula unit
Volume   12.2 Å³ per atom
ΔH_f (0 K)   259 meV per atom

No. 16
Here is a relaxed structure of BeAl2Zn from the Alexandria database. Energies are from PBE.

a = 2.6724 Å, b = 4.0340 Å, c = 11.3116 Å
α = 90.00°, β = 90.00°, γ = 90.00°
With the nearest neighbours (Å) after each atom.
Space group Immm (No. 71)
Unique sites:
Be: 0.0000 0.0000 0.0000  4 Zn 2.42, 4 Al 2.52, 2 Be 2.67
Al: 0.0000 0.5000 0.3114  2 Be 2.52, 6 Al 2.67-2.79
Zn: 0.0000 0.0000 0.5000  4 Be 2.42, 2 Zn 2.67

Properties
Energy above the most stable polymorph in this dataset   0.19 eV per formula unit
Volume   15.2 Å³ per atom
ΔH_f (0 K)   165 meV per atom

No. 17
Here is a relaxed structure of BeAlZn2 from the Alexandria database. Energies are from PBE.

a = 8.6372 Å, b = 2.6981 Å, c = 4.9265 Å
α = 90.00°, β = 102.81°, γ = 90.00°
With the nearest neighbours (Å) after each atom.
Space group Cm (No. 8)
Unique sites:
Be: 0.0000 0.0000 0.0000  2 Zn 2.50, 3 Al 2.53-2.71, 2 Be 2.70
Al: 0.2424 0.5000 0.2280  3 Be 2.53-2.71, 2 Al 2.70, 5 Zn 2.70-2.73
Zn: 0.0050 0.5000 0.5042  5 Zn 2.64-2.70, 3 Al 2.70-2.73, 4 Be 2.80-2.82
Zn: 0.2664 0.0000 0.7599  2 Be 2.50, 5 Zn 2.64-2.70, 2 Al 2.72

Properties
Energy above the most stable polymorph in this dataset   0.16 eV per formula unit
Volume   14.0 Å³ per atom
ΔH_f (0 K)   168 meV per atom

No. 18
Here is a relaxed structure of BeAl2Zn from the Alexandria database. Energies are from PBE.

a = 3.8677 Å, b = 3.8677 Å, c = 7.6408 Å
α = 90.00°, β = 90.00°, γ = 90.00°
With the nearest neighbours (Å) after each atom.
Space group I4/mmm (No. 139)
Unique sites:
Be: 0.0000 0.0000 0.0000  8 Al 2.72, 4 Zn 2.73
Al: 0.0000 0.5000 0.2500  4 Be 2.72, 4 Zn 2.72, 4 Al 2.73
Zn: 0.0000 0.0000 0.5000  8 Al 2.72, 4 Be 2.73

Properties
Energy above the most stable polymorph in this dataset   0.19 eV per formula unit
Volume   14.3 Å³ per atom
ΔH_f (0 K)   165 meV per atom

No. 19
Here is a relaxed structure of Be2AlZn from the Alexandria database. Energies are from PBE.

a = 2.6180 Å, b = 2.6180 Å, c = 7.1232 Å
α = 90.00°, β = 90.00°, γ = 90.00°
With the nearest neighbours (Å) after each atom.
Space group P4mm (No. 99)
Unique sites:
Be: 0.0000 0.0000 0.0000  4 Be 2.28
Be: 0.5000 0.5000 0.1870  4 Be 2.28, 4 Zn 2.54
Al: 0.5000 0.5000 0.7475  4 Be 2.58, 4 Al 2.62
Zn: 0.0000 0.0000 0.4304  4 Be 2.54, 4 Zn 2.62

Properties
Energy above the most stable polymorph in this dataset   0.15 eV per formula unit
Volume   12.2 Å³ per atom
ΔH_f (0 K)   214 meV per atom

No. 20
Here is a relaxed structure of BeAlZn2 from the Alexandria database. Energies are from PBE.

a = 3.0900 Å, b = 3.8950 Å, c = 4.9178 Å
α = 90.00°, β = 107.78°, γ = 90.00°
With the nearest neighbours (Å) after each atom.
Space group Pm (No. 6)
Unique sites:
Be: 0.0000 0.0000 0.0000  3 Zn 2.35-2.42, 2 Al 2.61
Al: 0.4211 0.5000 0.8237  3 Zn 2.55-2.64, 4 Be 2.61-2.63
Zn: 0.1418 0.5000 0.2803  2 Be 2.35, 1 Al 2.55
Zn: 0.7383 0.0000 0.4835  1 Be 2.42, 4 Zn 2.66-2.67

Properties
Energy above the most stable polymorph in this dataset   0.13 eV per formula unit
Volume   14.1 Å³ per atom
ΔH_f (0 K)   160 meV per atom